6
Lattice="0.000 4.395 4.395 4.395 0.000 4.395 4.395 4.395 0.000" Properties=species:S:1:pos:R:3 comment="MgZrBr4 PBE-GGA optimized geometry" sg="F-43m, No. 216" dft_energy_ev_per_fu=-13.799 dos_at_fermi_per_ev_fu=11.6 e_form_raw_ev_per_atom=0.506 pbc="T T T"
Mg 6.593 6.593 6.593
Zr 0.000 0.000 0.000
Br 3.292 5.498 5.498
Br 5.498 5.498 3.292
Br 5.498 3.292 5.498
Br 3.292 3.292 3.292